Record 1
# Lu4FeNiC2 | OQMD | GGA-PBE | optimized geometry
data_Lu4FeNiC2
_chemical_formula_sum 'Lu4 Fe1 Ni1 C2'
_space_group_name_H-M_alt 'P -6 m 2'
_space_group_IT_number 187
_space_group_name_Hall 'P -6 2'
_cell_length_a 3.4774
_cell_length_b 3.4774
_cell_length_c 13.5143
_cell_angle_alpha 90.00
_cell_angle_beta 90.00
_cell_angle_gamma 120.00
loop_
_atom_site_label
_atom_site_type_symbol
_atom_site_fract_x
_atom_site_fract_y
_atom_site_fract_z
Lu1 Lu 0.0000 0.0000 0.1441
Lu2 Lu 0.6667 0.3333 0.3399
Fe1 Fe 0.0000 0.0000 0.5000
Ni1 Ni 0.6667 0.3333 0.0000
C1 C 0.3333 0.6667 0.2431
# - total magnetization (μB/cell) = 2.1
# - total energy (eV/atom) = -6.41
# - calculated volume (Å³/cell) = 142

***

Record 2
# Lu4FeNiC2 | OQMD | GGA-PBE | optimized geometry
data_Lu4FeNiC2
_chemical_formula_sum 'Lu4 Fe1 Ni1 C2'
_space_group_name_H-M_alt 'P -6 m 2'
_space_group_IT_number 187
_space_group_name_Hall 'P -6 2'
_cell_length_a 3.4786
_cell_length_b 3.4786
_cell_length_c 13.5026
_cell_angle_alpha 90.00
_cell_angle_beta 90.00
_cell_angle_gamma 120.00
loop_
_atom_site_label
_atom_site_type_symbol
_atom_site_fract_x
_atom_site_fract_y
_atom_site_fract_z
Lu1 Lu 0.0000 0.0000 0.1433
Lu2 Lu 0.3333 0.6667 0.3394
Fe1 Fe 0.0000 0.0000 0.5000
Ni1 Ni 0.3333 0.6667 0.0000
C1 C 0.6667 0.3333 0.2423
# - total magnetization (μB/cell) = 2.1
# - total energy (eV/atom) = -6.41
# - calculated volume (Å³/cell) = 142

***

Record 3
# Lu4FePbC2 | OQMD | GGA-PBE | optimized geometry
data_Lu4FePbC2
_chemical_formula_sum 'Lu4 Fe1 Pb1 C2'
_space_group_name_H-M_alt 'P -6 m 2'
_space_group_IT_number 187
_space_group_name_Hall 'P -6 2'
_cell_length_a 3.5104
_cell_length_b 3.5104
_cell_length_c 14.7691
_cell_angle_alpha 90.00
_cell_angle_beta 90.00
_cell_angle_gamma 120.00
loop_
_atom_site_label
_atom_site_type_symbol
_atom_site_fract_x
_atom_site_fract_y
_atom_site_fract_z
Lu1 Lu 0.0000 0.0000 0.1403
Lu2 Lu 0.6667 0.3333 0.3164
Fe1 Fe 0.6667 0.3333 0.0000
Pb1 Pb 0.0000 0.0000 0.5000
C1 C 0.3333 0.6667 0.2326
# - total magnetization (μB/cell) = 1.9
# - total energy (eV/atom) = -6.32
# - calculated volume (Å³/cell) = 158

***

Record 4
# Lu4FeC2S | OQMD | GGA-PBE | optimized geometry
data_Lu4FeC2S
_chemical_formula_sum 'Lu4 Fe1 C2 S1'
_space_group_name_H-M_alt 'P -6 m 2'
_space_group_IT_number 187
_space_group_name_Hall 'P -6 2'
_cell_length_a 3.5391
_cell_length_b 3.5391
_cell_length_c 13.2128
_cell_angle_alpha 90.00
_cell_angle_beta 90.00
_cell_angle_gamma 120.00
loop_
_atom_site_label
_atom_site_type_symbol
_atom_site_fract_x
_atom_site_fract_y
_atom_site_fract_z
Lu1 Lu 0.0000 0.0000 0.1406
Lu2 Lu 0.3333 0.6667 0.3381
Fe1 Fe 0.0000 0.0000 0.5000
C1 C 0.6667 0.3333 0.2393
S1 S 0.3333 0.6667 0.0000
# - total magnetization (μB/cell) = 2.1
# - total energy (eV/atom) = -6.74
# - calculated volume (Å³/cell) = 143

***

Record 5
# Lu4Sc2Fe3C3 | OQMD | GGA-PBE | optimized geometry
data_Lu4Sc2Fe3C3
_chemical_formula_sum 'Lu16 Sc8 Fe12 C12'
_space_group_name_H-M_alt 'C 1 2/c 1'
_space_group_IT_number 15
_cell_length_a 10.410
_cell_length_b 5.900
_cell_length_c 14.172
_cell_angle_alpha 90.00
_cell_angle_beta 103.97
_cell_angle_gamma 90.00
loop_
_space_group_symop_operation_xyz
'x,y,z'
'-x,-y,-z'
'-x,y,-z+1/2'
'x,-y,z+1/2'
'x+1/2,y+1/2,z'
'-x+1/2,-y+1/2,-z'
'-x+1/2,y+1/2,-z+1/2'
'x+1/2,-y+1/2,z+1/2'
loop_
_atom_site_label
_atom_site_type_symbol
_atom_site_fract_x
_atom_site_fract_y
_atom_site_fract_z
Lu1 Lu 0.114 0.091 0.094
Lu2 Lu 0.217 0.088 0.405
Sc1 Sc 0.053 0.424 0.908
Fe1 Fe 0.000 0.269 0.250
Fe2 Fe 0.188 0.440 0.251
C1 C 0.081 0.257 0.503
C2 C 0.250 0.250 0.000
# - total magnetization (μB/cell) = 20.9
# - total energy (eV/atom) = -7.01
# - calculated volume (Å³/cell) = 845

***

Record 6
# Lu2Sc4Fe3C3 | OQMD | GGA-PBE | optimized geometry
data_Lu2Sc4Fe3C3
_chemical_formula_sum 'Lu8 Sc16 Fe12 C12'
_space_group_name_H-M_alt 'C 1 2/c 1'
_space_group_IT_number 15
_cell_length_a 9.921
_cell_length_b 5.722
_cell_length_c 14.056
_cell_angle_alpha 90.00
_cell_angle_beta 104.16
_cell_angle_gamma 90.00
loop_
_space_group_symop_operation_xyz
'x,y,z'
'-x,-y,-z'
'-x,y,-z+1/2'
'x,-y,z+1/2'
'x+1/2,y+1/2,z'
'-x+1/2,-y+1/2,-z'
'-x+1/2,y+1/2,-z+1/2'
'x+1/2,-y+1/2,z+1/2'
loop_
_atom_site_label
_atom_site_type_symbol
_atom_site_fract_x
_atom_site_fract_y
_atom_site_fract_z
Lu1 Lu 0.044 0.082 0.391
Sc1 Sc 0.113 0.413 0.587
Sc2 Sc 0.222 0.418 0.913
Fe1 Fe 0.000 0.415 0.750
Fe2 Fe 0.246 0.162 0.750
C1 C 0.083 0.249 0.000
C2 C 0.250 0.250 0.500
# - total magnetization (μB/cell) = 20.7
# - total energy (eV/atom) = -7.39
# - calculated volume (Å³/cell) = 774

***

Record 7
# Lu4FeSiC2 | OQMD | GGA-PBE | optimized geometry
data_Lu4FeSiC2
_chemical_formula_sum 'Lu4 Fe1 Si1 C2'
_space_group_name_H-M_alt 'P -6 m 2'
_space_group_IT_number 187
_space_group_name_Hall 'P -6 2'
_cell_length_a 3.4618
_cell_length_b 3.4618
_cell_length_c 14.2363
_cell_angle_alpha 90.00
_cell_angle_beta 90.00
_cell_angle_gamma 120.00
loop_
_atom_site_label
_atom_site_type_symbol
_atom_site_fract_x
_atom_site_fract_y
_atom_site_fract_z
Lu1 Lu 0.0000 0.0000 0.1547
Lu2 Lu 0.6667 0.3333 0.3404
Fe1 Fe 0.6667 0.3333 0.0000
Si1 Si 0.0000 0.0000 0.5000
C1 C 0.3333 0.6667 0.2468
# - total magnetization (μB/cell) = 2.2
# - total energy (eV/atom) = -6.48
# - calculated volume (Å³/cell) = 148

***

Record 8
# Lu4FeSnC2 | OQMD | GGA-PBE | optimized geometry
data_Lu4FeSnC2
_chemical_formula_sum 'Lu4 Fe1 Sn1 C2'
_space_group_name_H-M_alt 'P -6 m 2'
_space_group_IT_number 187
_space_group_name_Hall 'P -6 2'
_cell_length_a 3.4874
_cell_length_b 3.4874
_cell_length_c 14.6952
_cell_angle_alpha 90.00
_cell_angle_beta 90.00
_cell_angle_gamma 120.00
loop_
_atom_site_label
_atom_site_type_symbol
_atom_site_fract_x
_atom_site_fract_y
_atom_site_fract_z
Lu1 Lu 0.0000 0.0000 0.1429
Lu2 Lu 0.3333 0.6667 0.3206
Fe1 Fe 0.3333 0.6667 0.0000
Sn1 Sn 0.0000 0.0000 0.5000
C1 C 0.6667 0.3333 0.2344
# - total magnetization (μB/cell) = 2.0
# - total energy (eV/atom) = -6.38
# - calculated volume (Å³/cell) = 155

***

Record 9
# Lu4Fe3W2C3 | OQMD | GGA-PBE | optimized geometry
data_Lu4Fe3W2C3
_chemical_formula_sum 'Lu16 Fe12 W8 C12'
_space_group_name_H-M_alt 'C 1 2/c 1'
_space_group_IT_number 15
_cell_length_a 9.610
_cell_length_b 5.557
_cell_length_c 14.105
_cell_angle_alpha 90.00
_cell_angle_beta 103.81
_cell_angle_gamma 90.00
loop_
_space_group_symop_operation_xyz
'x,y,z'
'-x,-y,-z'
'-x,y,-z+1/2'
'x,-y,z+1/2'
'x+1/2,y+1/2,z'
'-x+1/2,-y+1/2,-z'
'-x+1/2,y+1/2,-z+1/2'
'x+1/2,-y+1/2,z+1/2'
loop_
_atom_site_label
_atom_site_type_symbol
_atom_site_fract_x
_atom_site_fract_y
_atom_site_fract_z
Lu1 Lu 0.041 0.082 0.379
Lu2 Lu 0.222 0.408 0.905
Fe1 Fe 0.000 0.433 0.750
Fe2 Fe 0.245 0.344 0.250
W1 W 0.116 0.406 0.580
C1 C 0.071 0.268 0.000
C2 C 0.250 0.250 0.500
# - total magnetization (μB/cell) = 18.5
# - total energy (eV/atom) = -8.16
# - calculated volume (Å³/cell) = 731

***

Record 10
# Y2Lu4Fe3C3 | OQMD | GGA-PBE | optimized geometry
data_Y2Lu4Fe3C3
_chemical_formula_sum 'Y8 Lu16 Fe12 C12'
_space_group_name_H-M_alt 'C 1 2/c 1'
_space_group_IT_number 15
_cell_length_a 10.363
_cell_length_b 5.979
_cell_length_c 14.588
_cell_angle_alpha 90.00
_cell_angle_beta 104.13
_cell_angle_gamma 90.00
loop_
_space_group_symop_operation_xyz
'x,y,z'
'-x,-y,-z'
'-x,y,-z+1/2'
'x,-y,z+1/2'
'x+1/2,y+1/2,z'
'-x+1/2,-y+1/2,-z'
'-x+1/2,y+1/2,-z+1/2'
'x+1/2,-y+1/2,z+1/2'
loop_
_atom_site_label
_atom_site_type_symbol
_atom_site_fract_x
_atom_site_fract_y
_atom_site_fract_z
Y1 Y 0.045 0.081 0.392
Lu1 Lu 0.114 0.414 0.589
Lu2 Lu 0.220 0.419 0.910
Fe1 Fe 0.000 0.416 0.750
Fe2 Fe 0.243 0.161 0.750
C1 C 0.082 0.247 0.000
C2 C 0.250 0.250 0.500
# - total magnetization (μB/cell) = 22.3
# - total energy (eV/atom) = -6.98
# - calculated volume (Å³/cell) = 876

***

Record 11
# Lu4ZnFeC2 | OQMD | GGA-PBE | optimized geometry
data_Lu4ZnFeC2
_chemical_formula_sum 'Lu4 Zn1 Fe1 C2'
_space_group_name_H-M_alt 'P -6 m 2'
_space_group_IT_number 187
_space_group_name_Hall 'P -6 2'
_cell_length_a 3.4687
_cell_length_b 3.4687
_cell_length_c 14.4794
_cell_angle_alpha 90.00
_cell_angle_beta 90.00
_cell_angle_gamma 120.00
loop_
_atom_site_label
_atom_site_type_symbol
_atom_site_fract_x
_atom_site_fract_y
_atom_site_fract_z
Lu1 Lu 0.0000 0.0000 0.1467
Lu2 Lu 0.6667 0.3333 0.3295
Zn1 Zn 0.0000 0.0000 0.5000
Fe1 Fe 0.6667 0.3333 0.0000
C1 C 0.3333 0.6667 0.2400
# - total magnetization (μB/cell) = 2.9
# - total energy (eV/atom) = -5.89
# - calculated volume (Å³/cell) = 151

***

Record 12
# Y2MgFeC | OQMD | GGA-PBE | optimized geometry
data_Y2MgFeC
_chemical_formula_sum 'Y2 Mg1 Fe1 C1'
_space_group_name_H-M_alt 'P 4/m m m'
_space_group_IT_number 123
_space_group_name_Hall '-P 4 2'
_cell_length_a 5.047
_cell_length_b 5.047
_cell_length_c 3.715
_cell_angle_alpha 90.00
_cell_angle_beta 90.00
_cell_angle_gamma 90.00
loop_
_atom_site_label
_atom_site_type_symbol
_atom_site_fract_x
_atom_site_fract_y
_atom_site_fract_z
Y1 Y 0.000 0.500 0.000
Mg1 Mg 0.000 0.000 0.500
Fe1 Fe 0.500 0.500 0.500
C1 C 0.500 0.500 0.000
# - total magnetization (μB/cell) = 0.0
# - total energy (eV/atom) = -6.61
# - calculated volume (Å³/cell) = 95